1.
{
  "formula": "MnGePCN",
  "functional": "PBE",
  "state": "relaxed",
  "lattice": [[2.972, 0.000, 0.000], [-0.006, 3.932, 0.000], [-1.480, -1.492, 4.833]],
  "species": ["Mn", "Ge", "P", "C", "N"],
  "fractional_positions": [[0.000, 0.000, 0.000], [0.545, 0.533, 0.088], [0.329, 0.892, 0.658], [0.198, 0.445, 0.391], [0.211, 0.121, 0.420]],
  "n_ef_per_ev_cell": 1.84,
  "e_form_raw_mev_per_atom": 322,
  "crystal_system": "triclinic",
  "total_magnetization_mub_per_cell": 0.55,
  "de_polymorph_mev_per_atom": 228
}

2.
{
  "formula": "Pm5Cd4Ge",
  "functional": "PBE",
  "state": "relaxed",
  "lattice": [[3.837, 0.000, 0.000], [0.000, 3.837, 0.000], [0.000, 0.000, 18.601]],
  "species": ["Pm", "Pm", "Pm", "Pm", "Pm", "Cd", "Cd", "Cd", "Cd", "Ge"],
  "fractional_positions": [[0.000, 0.000, 0.000], [0.000, 0.000, 0.207], [0.000, 0.000, 0.414], [0.000, 0.000, 0.586], [0.000, 0.000, 0.793], [0.500, 0.500, 0.103], [0.500, 0.500, 0.307], [0.500, 0.500, 0.693], [0.500, 0.500, 0.897], [0.500, 0.500, 0.500]],
  "n_ef_per_ev_cell": 12.32,
  "formation_energy_ev_per_atom": -0.38,
  "crystal_system": "tetragonal",
  "total_magnetization_mub_per_cell": 1.11
}

3.
{
  "formula": "HgBS",
  "functional": "PBE",
  "state": "relaxed",
  "lattice": [[9.696, 0.000, 0.000], [0.000, 3.089, 0.000], [0.000, 0.000, 8.987]],
  "species": ["Hg", "Hg", "Hg", "Hg", "B", "B", "B", "B", "S", "S", "S", "S"],
  "fractional_positions": [[0.023, 0.250, 0.141], [0.477, 0.750, 0.641], [0.523, 0.250, 0.359], [0.977, 0.750, 0.859], [0.045, 0.250, 0.391], [0.455, 0.750, 0.891], [0.545, 0.250, 0.109], [0.955, 0.750, 0.609], [0.128, 0.750, 0.488], [0.372, 0.250, 0.988], [0.628, 0.750, 0.012], [0.872, 0.250, 0.512]],
  "n_ef_per_ev_cell": 0.00,
  "e_form_raw_mev_per_atom": 115,
  "crystal_system": "orthorhombic",
  "total_magnetization_mub_per_cell": 0.00
}

4.
{
  "formula": "P3Cl",
  "functional": "PBE",
  "state": "relaxed",
  "lattice": [[5.096, 0.000, 0.000], [0.000, 5.096, 0.000], [0.000, 0.000, 5.096]],
  "species": ["P", "P", "P", "P", "P", "P", "Cl", "Cl"],
  "fractional_positions": [[0.000, 0.250, 0.500], [0.000, 0.750, 0.500], [0.250, 0.500, 0.000], [0.500, 0.000, 0.250], [0.500, 0.000, 0.750], [0.750, 0.500, 0.000], [0.000, 0.000, 0.000], [0.500, 0.500, 0.500]],
  "n_ef_per_ev_cell": 4.06,
  "e_form_raw_mev_per_atom": 1115,
  "crystal_system": "cubic",
  "total_magnetization_mub_per_cell": 0.00,
  "de_polymorph_mev_per_atom": 897
}

5.
{
  "formula": "Pm4Ir2Br",
  "functional": "PBE",
  "state": "relaxed",
  "lattice": [[7.479, -4.325, 0.000], [7.479, 4.325, 0.000], [-4.997, 0.000, 7.062]],
  "species": ["Pm", "Pm", "Pm", "Pm", "Pm", "Pm", "Pm", "Pm", "Ir", "Ir", "Ir", "Ir", "Br", "Br"],
  "fractional_positions": [[0.196, 0.768, 0.732], [0.232, 0.232, 0.269], [0.232, 0.232, 0.696], [0.232, 0.804, 0.268], [0.768, 0.196, 0.732], [0.768, 0.768, 0.304], [0.768, 0.768, 0.731], [0.804, 0.232, 0.268], [0.000, 0.000, 0.000], [0.000, 0.000, 0.500], [0.000, 0.500, 0.500], [0.500, 0.000, 0.500], [0.375, 0.375, 0.125], [0.625, 0.625, 0.875]],
  "n_ef_per_ev_cell": 7.80,
  "e_form_raw_mev_per_atom": -820,
  "crystal_system": "monoclinic",
  "total_magnetization_mub_per_cell": 0.00
}

6.
{
  "formula": "Tb2Al6Pd9",
  "functional": "PBE",
  "state": "relaxed",
  "lattice": [[5.569, 0.000, 0.000], [-2.785, 4.823, 0.000], [0.000, 0.000, 11.895]],
  "species": ["Tb", "Tb", "Al", "Al", "Al", "Al", "Al", "Al", "Pd", "Pd", "Pd", "Pd", "Pd", "Pd", "Pd", "Pd", "Pd"],
  "fractional_positions": [[0.000, 0.000, 0.199], [0.000, 0.000, 0.801], [0.333, 0.667, 0.164], [0.333, 0.667, 0.500], [0.333, 0.667, 0.836], [0.667, 0.333, 0.164], [0.667, 0.333, 0.500], [0.667, 0.333, 0.836], [0.000, 0.500, 0.000], [0.000, 0.500, 0.331], [0.000, 0.500, 0.669], [0.500, 0.000, 0.000], [0.500, 0.000, 0.331], [0.500, 0.000, 0.669], [0.500, 0.500, 0.000], [0.500, 0.500, 0.331], [0.500, 0.500, 0.669]],
  "n_ef_per_ev_cell": 8.57,
  "formation_energy_ev_per_atom": -0.75,
  "crystal_system": "hexagonal",
  "total_magnetization_mub_per_cell": 0.00
}

7.
{
  "formula": "AsIr2Au",
  "functional": "PBE",
  "state": "relaxed",
  "lattice": [[4.253, 0.000, 0.000], [0.000, 4.253, 0.000], [0.000, 0.000, 7.003]],
  "species": ["As", "As", "Ir", "Ir", "Ir", "Ir", "Au", "Au"],
  "fractional_positions": [[0.000, 0.000, 0.000], [0.500, 0.500, 0.500], [0.000, 0.500, 0.250], [0.000, 0.500, 0.750], [0.500, 0.000, 0.250], [0.500, 0.000, 0.750], [0.000, 0.000, 0.500], [0.500, 0.500, 0.000]],
  "n_ef_per_ev_cell": 6.45,
  "formation_energy_ev_per_atom": 0.40,
  "crystal_system": "tetragonal",
  "total_magnetization_mub_per_cell": 0.00
}

8.
{
  "formula": "BeOsRu2",
  "functional": "PBE",
  "state": "relaxed",
  "lattice": [[2.774, 0.000, 0.000], [0.000, 2.774, 0.000], [0.000, 0.000, 6.479]],
  "species": ["Be", "Os", "Ru", "Ru"],
  "fractional_positions": [[0.000, 0.000, 0.000], [0.500, 0.500, 0.218], [0.000, 0.000, 0.502], [0.500, 0.500, 0.788]],
  "n_ef_per_ev_cell": 3.14,
  "formation_energy_ev_per_atom": -0.05,
  "crystal_system": "tetragonal",
  "total_magnetization_mub_per_cell": 0.00
}

What did the seventh record say?
{
  "formula": "AsIr2Au",
  "functional": "PBE",
  "state": "relaxed",
  "lattice": [[4.253, 0.000, 0.000], [0.000, 4.253, 0.000], [0.000, 0.000, 7.003]],
  "species": ["As", "As", "Ir", "Ir", "Ir", "Ir", "Au", "Au"],
  "fractional_positions": [[0.000, 0.000, 0.000], [0.500, 0.500, 0.500], [0.000, 0.500, 0.250], [0.000, 0.500, 0.750], [0.500, 0.000, 0.250], [0.500, 0.000, 0.750], [0.000, 0.000, 0.500], [0.500, 0.500, 0.000]],
  "n_ef_per_ev_cell": 6.45,
  "formation_energy_ev_per_atom": 0.40,
  "crystal_system": "tetragonal",
  "total_magnetization_mub_per_cell": 0.00
}